In2SnTeRh | Alexandria | PBE | relaxed; total magnetic moment = 0.000 μB per atom; DOS(E_F) = 3.48 states/eV/f.u.; uncorrected formation energy = -0.22 eV/atom
1.0
5.2033 0.0000 0.0000
0.0000 5.2033 0.0000
0.0000 0.0000 5.1383
In Sn Te Rh
2 1 1 1
direct
0.0000 0.5000 0.0000
0.5000 0.0000 0.0000
0.0000 0.0000 0.5000
0.5000 0.5000 0.5000
0.0000 0.0000 0.0000

=====

TaB2Pb | Alexandria | PBE | relaxed; total magnetic moment = 0.000 μB per atom; formation energy from the elements = 988 meV per atom; DOS(E_F) = 1.49 states/eV/f.u.
1.0
-2.8427 2.8427 4.4540
2.8427 -2.8427 4.4540
2.8427 2.8427 -4.4540
Ta B Pb
2 4 2
direct
0.0000 0.0000 0.0000
0.7500 0.2500 0.5000
0.0950 0.6250 0.9700
0.3750 0.3450 0.4700
0.6550 0.1250 0.0300
0.8750 0.9050 0.5300
0.2500 0.7500 0.5000
0.5000 0.5000 0.0000

=====

Te3OsW | Alexandria | PBE | relaxed; total magnetic moment = 0.000 μB per atom; excess energy over the best structure of this formula in the dataset = 0.000 eV/atom; DOS(E_F) = 5.54 states/eV/f.u.; uncorrected formation energy = 1.72 eV/atom
1.0
5.0874 0.0000 0.0000
0.0000 5.0874 0.0000
0.0000 0.0000 5.0874
Te Os W
3 1 1
direct
0.0000 0.0000 0.5000
0.0000 0.5000 0.0000
0.5000 0.0000 0.0000
0.0000 0.0000 0.0000
0.5000 0.5000 0.5000

=====

TmRh4Au | Alexandria | PBE | relaxed; total magnetic moment = 0.043 μB per atom; formation energy from the elements = -344 meV per atom; DOS(E_F) = 10.65 states/eV/f.u.
1.0
0.0000 3.6972 3.6972
3.6972 0.0000 3.6972
3.6972 3.6972 0.0000
Tm Rh Au
1 4 1
direct
0.0000 0.0000 0.0000
0.3753 0.3753 0.3753
0.3753 0.3753 0.8740
0.3753 0.8740 0.3753
0.8740 0.3753 0.3753
0.7500 0.7500 0.7500

=====

What is the DOS(E_F) in the fourth record? 10.65 states/eV/f.u.